The following is a DFT calculation (PBE) of a relaxed K3Cu2I4Br2 crystal.

Geometry as CIF:
```
data_K3Cu2I4Br2
_cell_length_a 5.3608
_cell_length_b 5.3608
_cell_length_c 28.1206
_cell_angle_alpha 90.00
_cell_angle_beta 90.00
_cell_angle_gamma 90.00
_space_group_name_H-M_alt 'I 4/m m m'
_space_group_IT_number 139
_space_group_name_Hall '-I 4 2'
loop_
_atom_site_label
_atom_site_fract_x
_atom_site_fract_y
_atom_site_fract_z
_atom_site_occupancy
K1 0.0000 0.0000 0.0000 1
K2 0.0000 0.0000 0.1837 1
Cu1 0.0000 0.0000 0.3892 1
I1 0.0000 0.5000 0.0871 1
Br1 0.0000 0.0000 0.3002 1
```

Summary:
ΔE_f (raw), meV/atom: -895
E, eV/atom: -2.81
M_tot, μB per cell: 0.00